A plane-wave DFT calculation with PBE-GGA was carried out for YUCrC3 after structural relaxation.

Geometry as POSCAR:
```
YUCrC3
1.0
-2.1773 -1.1537 2.8526
5.9190 -3.2943 0.6949
0.9526 5.9369 3.1282
Cr C Y U
2 6 2 2
Cartesian
0.7342 4.3700 2.3278 Cr
3.9601 -2.8811 4.3478 Cr
1.9607 0.8614 1.8449 C
-0.7904 0.9994 2.2914 C
2.2886 3.5478 3.1816 C
2.4058 -2.0589 3.4940 C
5.4847 0.4895 4.3842 C
2.7336 0.6274 4.8307 C
4.3297 2.7316 4.4094 Y
0.3646 -1.2427 2.2662 Y
0.8993 1.6877 3.8595 U
3.7951 -0.1989 2.8162 U
```

## Properties
- Calculated density: 8.549 g/cm³
- Crystal system: monoclinic
- Formation energy from the elements: -0.14 eV/atom

A plane-wave DFT calculation with PBE-GGA was carried out for UMo6Se8 after structural relaxation.

Geometry as POSCAR:
```
UMo6Se8
1.0
-0.7430 -2.8962 -6.0584
6.5853 -1.4857 -0.2671
-1.0888 -6.0297 2.8464
Mo Se U
6 8 1
Cartesian
2.7402 -5.7301 -3.5524 Mo
3.1205 -3.4629 -2.0603 Mo
1.6329 -6.9487 -1.4188 Mo
0.6517 -4.5275 -2.2475 Mo
4.1017 -5.8841 -1.2316 Mo
2.0131 -4.6815 0.0734 Mo
5.0527 -4.5790 -3.3738 Se
3.6207 -7.9307 -2.6501 Se
1.7331 -3.4843 -4.3562 Se
3.0203 -6.9273 0.8771 Se
-0.2993 -5.8326 -0.1053 Se
0.2409 -6.7041 -3.5884 Se
4.5125 -3.7075 0.1093 Se
1.1327 -2.4809 -0.8290 Se
0.0000 0.0000 0.0000 U
```

## Properties
- Calculated density: 7.789 g/cm³
- Crystal system: trigonal
- Energy relative to the elements, uncorrected: -8.99 eV/f.u.

A plane-wave DFT calculation with PBE-GGA was carried out for Tb2PrDy8 after structural relaxation.

Geometry as POSCAR:
```
Tb2PrDy8
1.0
-6.0868 -1.4296 -2.2623
-1.2559 -5.1058 -8.7847
-2.1633 -9.3008 -3.6924
Dy Tb Pr
8 2 1
Cartesian
-6.2941 -7.9905 -5.6514 Dy
-3.2119 -7.8457 -9.0879 Dy
-5.8150 -4.6712 -4.8842 Dy
-5.8665 -6.0134 -8.0515 Dy
-3.0570 -6.3171 -5.7486 Dy
-3.6910 -11.1650 -9.8552 Dy
-6.4490 -9.5191 -8.9907 Dy
-3.6396 -9.8228 -6.6879 Dy
-3.0396 -3.5276 -3.4476 Tb
-6.4664 -12.3086 -11.2918 Tb
0.0000 0.0000 0.0000 Pr
```

## Properties
- Calculated density: 8.099 g/cm³
- Energy above the lowest structure with this stoichiometry: 0.612 eV per formula unit
- Crystal system: monoclinic
- Formation energy from the elements: 0.17 eV/atom

A plane-wave DFT calculation with PBE-GGA was carried out for La2Pr2SmHo2 after structural relaxation.

Geometry as POSCAR:
```
La2Pr2SmHo2
1.0
-4.7149 -1.8358 -1.0757
2.3801 -2.0417 5.4895
-3.3517 6.9519 2.8263
Pr La Sm Ho
2 2 1 2
Cartesian
-2.8226 -1.2023 1.9865 Pr
-2.8639 4.2767 5.2537 Pr
-4.2623 0.9471 4.6285 La
-1.4242 2.1273 2.6117 La
0.0000 0.0000 0.0000 Sm
-4.7484 3.6294 2.1813 Ho
-0.9381 -0.5550 5.0588 Ho
```

## Properties
- Calculated density: 7.111 g/cm³
- Crystal system: monoclinic
- Formation energy from the elements: 0.02 eV/atom

A plane-wave DFT calculation with PBE-GGA was carried out for BaZnGe2Os after structural relaxation.

Geometry as POSCAR:
```
BaZnGe2Os
1.0
-4.4112 2.0135 -0.0697
-1.5986 -3.6001 -2.8286
-1.2553 -2.6105 4.0320
Ge Zn Os Ba
2 1 1 1
Cartesian
-0.7993 -1.8001 -1.4143 Ge
-2.2056 1.0067 -0.0349 Ge
-0.6276 -1.3053 2.0160 Zn
0.0000 0.0000 0.0000 Os
-3.6325 -2.0986 0.5668 Ba
```

## Properties
- Calculated density: 7.655 g/cm³
- Crystal system: tetragonal
- Formation energy from the elements: -0.17 eV/atom

A plane-wave DFT calculation with PBE-GGA was carried out for AcScTl after structural relaxation.

Geometry as POSCAR:
```
AcScTl
1.0
3.7547 0.0000 0.0000
0.0000 3.7547 0.0000
-1.8774 -1.8774 6.6137
Ac Tl Sc
1 1 1
Cartesian
0.0000 0.0000 0.0062 Ac
1.8774 1.8774 2.5079 Tl
0.0000 0.0000 4.0995 Sc
```

## Properties
- Calculated density: 8.483 g/cm³
- Energy above the lowest structure with this stoichiometry: 0.393 eV per formula unit
- Crystal system: tetragonal
- Formation energy from the elements: -0.14 eV/atom

A plane-wave DFT calculation with PBE-GGA was carried out for CoBr after structural relaxation.

Geometry as POSCAR:
```
CoBr
1.0
3.3888 0.0000 0.0000
0.0000 3.3888 0.0000
0.0000 0.0000 7.4410
Co Br
2 2
Cartesian
2.5416 2.5416 3.2286 Co
0.8472 0.8472 4.2125 Co
0.8472 0.8472 1.8446 Br
2.5416 2.5416 5.5965 Br
```

## Properties
- Calculated density: 5.396 g/cm³
- Energy above the lowest structure with this stoichiometry: 0.711 eV per formula unit
- Crystal system: tetragonal
- Energy relative to the elements, uncorrected: 0.48 eV/f.u.

A plane-wave DFT calculation with PBE-GGA was carried out for LiCo2Cu after structural relaxation.

Geometry as POSCAR:
```
LiCo2Cu
1.0
4.6021 0.0059 0.0000
2.0656 4.1125 0.0000
-3.3338 -2.0592 2.4134
Co Li Cu
2 1 1
Cartesian
0.0000 0.0000 0.0000 Co
3.3338 2.0592 0.0000 Co
2.3010 0.0030 1.2067 Li
1.0328 2.0562 1.2067 Cu
```

## Properties
- Calculated density: 6.852 g/cm³
- Crystal system: tetragonal
- Formation energy from the elements: 0.17 eV/atom

A plane-wave DFT calculation with PBE-GGA was carried out for Ce3PuCd after structural relaxation.

Geometry as POSCAR:
```
Ce3PuCd
1.0
6.4402 -0.7177 0.6115
2.2293 6.0845 0.6115
-2.3890 -1.4789 12.6218
Ce Pu Cd
12 4 4
Cartesian
0.9386 3.8420 11.9324 Ce
4.5497 3.0895 10.3563 Ce
0.2919 0.4538 9.7995 Ce
5.3419 0.0460 1.9124 Ce
6.0599 3.2388 1.2587 Ce
1.8739 0.6475 6.2753 Ce
0.2207 0.6491 12.5862 Ce
5.9887 3.4341 4.0454 Ce
1.7308 0.7984 3.4885 Ce
4.4067 3.2404 7.5696 Ce
1.2287 4.0215 8.2234 Ce
5.0519 -0.1336 5.6215 Ce
2.0050 2.4434 10.0779 Pu
4.2756 1.4445 3.7670 Pu
0.8311 -1.8377 12.9276 Pu
-0.0798 2.3028 6.6167 Pu
2.9126 4.1158 2.3796 Cd
3.3679 -0.2278 11.4653 Cd
2.4923 3.8556 5.1544 Cd
3.7882 0.0323 8.6905 Cd
```

## Properties
- Calculated density: 9.762 g/cm³
- Energy above the lowest structure with this stoichiometry: 0.000 eV per formula unit
- Crystal system: monoclinic
- Formation energy from the elements: 0.05 eV/atom

A plane-wave DFT calculation with PBE-GGA was carried out for BaNbHgCl2 after structural relaxation.

Geometry as POSCAR:
```
BaNbHgCl2
1.0
-0.2178 3.0962 4.9437
-7.0008 -1.8268 0.8357
1.5952 -4.7270 3.0308
Cl Ba Hg Nb
2 1 1 1
Cartesian
-0.1089 1.5481 2.4719 Cl
0.7976 -2.3635 1.5154 Cl
0.0000 0.0000 0.0000 Ba
-3.5004 -0.9134 0.4178 Hg
-2.8117 -1.7288 4.4051 Nb
```

## Properties
- Calculated density: 3.357 g/cm³
- Crystal system: tetragonal
- Energy relative to the elements, uncorrected: -0.02 eV/f.u.

A plane-wave DFT calculation with PBE-GGA was carried out for DyPd8Au6 after structural relaxation.

Geometry as POSCAR:
```
DyPd8Au6
1.0
-3.0662 3.1761 -1.4378
-1.4988 -4.4859 -6.7131
-4.4307 -1.1945 6.8101
Pd Au Dy
8 6 1
Cartesian
-5.4398 -4.2168 2.2856 Pd
-5.5421 -0.2129 -3.6431 Pd
-6.0092 -1.6984 -5.9294 Pd
-7.0617 -0.6522 -1.3737 Pd
-2.9865 -0.8059 4.5886 Pd
-3.4537 -2.2914 2.3023 Pd
-1.9340 -1.8521 0.0329 Pd
-3.5559 1.7125 -3.6264 Pd
-5.2435 -2.6217 -2.1047 Au
-3.6572 -2.1903 -4.5347 Au
-3.7522 0.1174 0.7639 Au
-5.8693 -1.9135 0.7924 Au
-5.3385 -0.3140 3.1939 Au
-3.1265 -0.5908 -2.1332 Au
-1.5331 1.5881 -0.7189 Dy
```

## Properties
- Calculated density: 13.446 g/cm³
- Crystal system: hexagonal
- Formation energy from the elements: -0.18 eV/atom

A plane-wave DFT calculation with PBE-GGA was carried out for Cr2AgGe after structural relaxation.

Geometry as POSCAR:
```
Cr2AgGe
1.0
6.9466 0.0000 0.0000
0.0000 6.9466 0.0000
3.4733 3.4733 2.5322
Ag Cr Ge
2 4 2
Cartesian
0.0000 0.0000 0.0000 Ag
6.9466 3.4733 1.2661 Ag
5.0110 1.7367 0.6331 Cr
1.9357 5.2100 0.6331 Cr
5.2100 5.4090 1.8992 Cr
8.6833 8.4843 1.8992 Cr
3.4733 6.9466 1.2661 Ge
3.4733 3.4733 0.0000 Ge
```

## Properties
- Calculated density: 7.732 g/cm³
- Crystal system: tetragonal
- Formation energy from the elements: 0.82 eV/atom

A plane-wave DFT calculation with PBE-GGA was carried out for SrTcAs2 after structural relaxation.

Geometry as POSCAR:
```
SrTcAs2
1.0
4.5815 0.0000 0.0000
0.0000 3.9637 -0.0053
0.0000 1.9923 5.7872
As Sr Tc
2 1 1
Cartesian
2.2907 1.2407 1.2578 As
0.0000 5.2107 5.0142 As
0.0000 3.2250 2.5356 Sr
2.2907 5.2135 5.6470 Tc
```

## Properties
- Calculated density: 5.298 g/cm³
- Energy above the lowest structure with this stoichiometry: 0.541 eV per formula unit
- Crystal system: orthorhombic
- Formation energy from the elements: -0.31 eV/atom

A plane-wave DFT calculation with PBE-GGA was carried out for HfBeB3 after structural relaxation.

Geometry as POSCAR:
```
HfBeB3
1.0
-3.3801 1.9293 1.9335
0.7725 -2.2754 3.6210
2.6199 3.1601 1.4268
Be B Hf
1 3 1
Cartesian
0.0061 1.4070 3.4907 Be
0.3862 -1.1377 1.8105 B
1.3100 1.5800 0.7134 B
-1.6901 0.9647 0.9667 B
0.0000 0.0000 0.0000 Hf
```

## Properties
- Calculated density: 4.450 g/cm³
- Energy above the lowest structure with this stoichiometry: 13.176 eV per formula unit
- Crystal system: cubic
- Formation energy from the elements: 2.12 eV/atom

A plane-wave DFT calculation with PBE-GGA was carried out for U3Ir after structural relaxation.

Geometry as POSCAR:
```
U3Ir
1.0
4.7601 0.0000 0.0000
2.3801 4.1224 0.0000
2.3801 1.3741 3.8866
Ir U
1 3
Cartesian
4.7601 2.7483 1.9433 Ir
2.3801 1.3741 0.9717 U
7.1402 4.1224 2.9150 U
0.0000 0.0000 0.0000 U
```

## Properties
- Calculated density: 19.733 g/cm³
- Crystal system: cubic
- Formation energy from the elements: -0.21 eV/atom

A plane-wave DFT calculation with PBE-GGA was carried out for CsSr3Pd after structural relaxation.

Geometry as POSCAR:
```
CsSr3Pd
1.0
6.2964 0.0000 0.0000
0.0000 6.2964 0.0000
3.1482 3.1482 17.0165
Sr Cs Pd
6 2 2
Cartesian
4.7696 6.2964 4.1453 Sr
1.5268 6.2964 4.1453 Sr
3.1482 3.1482 2.2859 Sr
3.1482 7.9178 12.8712 Sr
6.2964 6.2964 14.7305 Sr
3.1482 4.6750 12.8712 Sr
3.1482 6.2964 8.5082 Cs
0.0000 0.0000 0.0000 Cs
6.2964 3.1482 13.7243 Pd
6.2964 3.1482 3.2922 Pd
```

## Properties
- Calculated density: 2.472 g/cm³
- Energy above the lowest structure with this stoichiometry: 3.457 eV per formula unit
- Crystal system: tetragonal
- Formation energy from the elements: 0.45 eV/atom

A plane-wave DFT calculation with PBE-GGA was carried out for Er3Tm4Al4 after structural relaxation.

Geometry as POSCAR:
```
Er3Tm4Al4
1.0
5.0810 0.0000 0.0000
0.0000 6.6368 0.0000
-2.5405 -3.3184 8.4047
Tm Er Al
4 3 4
Cartesian
0.0000 1.5742 5.3723 Tm
2.5405 4.8926 3.0325 Tm
2.5405 1.7442 3.0325 Tm
0.0000 -1.5742 5.3723 Tm
0.0000 3.3184 0.0000 Er
2.5405 3.3184 6.7309 Er
0.0000 0.0000 1.6739 Er
2.5405 0.0000 5.4965 Al
2.5405 5.2687 0.0000 Al
2.5405 1.3680 0.0000 Al
0.0000 3.3184 2.9082 Al
```

## Properties
- Calculated density: 7.531 g/cm³
- Crystal system: orthorhombic
- Formation energy from the elements: -0.18 eV/atom

A plane-wave DFT calculation with PBE-GGA was carried out for NpIrW after structural relaxation.

Geometry as POSCAR:
```
NpIrW
1.0
8.0280 0.0000 1.2377
0.0000 5.2073 0.0000
-2.6081 0.0000 5.2485
Np Ir W
4 4 4
Cartesian
2.9145 1.9951 4.9979 Np
-1.0995 0.6086 4.3790 Np
2.5054 3.2122 1.4883 Np
6.5194 4.5988 2.1072 Np
3.5781 0.7163 1.6615 Ir
1.8419 4.4910 4.8248 Ir
-0.4359 1.8873 1.0426 Ir
5.8559 3.3200 5.4436 Ir
0.2355 3.0927 3.2868 W
4.2495 4.7183 3.9056 W
5.1844 2.1147 3.1994 W
1.1704 0.4890 2.5806 W
```

## Properties
- Calculated density: 17.238 g/cm³
- Crystal system: monoclinic
- Formation energy from the elements: 0.17 eV/atom

A plane-wave DFT calculation with PBE-GGA was carried out for DyFeRu after structural relaxation.

Geometry as POSCAR:
```
DyFeRu
1.0
3.2482 0.0000 0.0000
0.0000 3.2482 0.0000
-1.6241 -1.6241 5.0423
Fe Ru Dy
1 1 1
Cartesian
1.6241 1.6241 1.4362 Fe
0.0000 0.0000 2.6367 Ru
1.6241 1.6241 4.4990 Dy
```

## Properties
- Calculated density: 9.970 g/cm³
- Crystal system: tetragonal
- Formation energy from the elements: 0.05 eV/atom

A plane-wave DFT calculation with PBE-GGA was carried out for LiPm3Bi2 after structural relaxation.

Geometry as POSCAR:
```
LiPm3Bi2
1.0
6.5070 0.0000 0.0000
0.0000 8.8329 0.0052
-3.2535 -2.2093 6.7456
Pm Li Bi
6 2 4
Cartesian
3.2487 6.6218 4.3199 Pm
4.5168 2.2082 0.0013 Pm
3.2583 2.2054 4.3173 Pm
-0.0048 4.4182 2.4335 Pm
0.0048 0.0018 2.4309 Pm
1.9901 6.6246 0.0039 Pm
5.1624 6.6246 0.0039 Li
1.3446 2.2082 0.0013 Li
0.0007 2.2069 4.7188 Bi
-0.0007 6.6234 4.7215 Bi
3.2542 0.0002 2.0294 Bi
3.2528 4.4166 2.0320 Bi
```

## Properties
- Calculated density: 7.364 g/cm³
- Crystal system: monoclinic
- Formation energy from the elements: -0.48 eV/atom

A plane-wave DFT calculation with PBE-GGA was carried out for Th3Zr2Hg2 after structural relaxation.

Geometry as POSCAR:
```
Th3Zr2Hg2
1.0
4.8653 0.0000 0.6457
0.0000 3.3298 0.0000
0.8972 0.0000 11.8930
Hg Th Zr
2 3 2
Cartesian
3.5582 1.6649 10.4949 Hg
2.2043 1.6649 2.0437 Hg
0.0000 0.0000 0.0000 Th
4.4164 0.0000 4.0277 Th
1.3460 0.0000 8.5110 Th
4.0196 1.6649 7.0179 Zr
1.7428 1.6649 5.5208 Zr
```

## Properties
- Calculated density: 11.141 g/cm³
- Crystal system: orthorhombic
- Formation energy from the elements: -0.01 eV/atom

A plane-wave DFT calculation with PBE-GGA was carried out for LaCoHg2 after structural relaxation.

Geometry as POSCAR:
```
LaCoHg2
1.0
-3.0075 -2.8478 0.1513
0.1973 -0.4271 -4.1178
6.2166 -9.6231 -0.7898
Hg Co La
4 2 2
Cartesian
1.2351 -3.0916 -2.7488 Hg
3.6130 -8.4548 -2.1707 Hg
2.1992 -10.0734 -3.9721 Hg
-0.2345 -4.1762 -0.6210 Hg
2.5044 -5.8438 -3.4454 Co
-1.4051 -1.6374 -1.9832 Co
0.0000 0.0000 0.0000 La
0.9020 -7.0542 -1.3109 La
```

## Properties
- Calculated density: 10.430 g/cm³
- Crystal system: tetragonal
- Formation energy from the elements: 0.15 eV/atom

A plane-wave DFT calculation with PBE-GGA was carried out for LiTbMgOs after structural relaxation.

Geometry as POSCAR:
```
LiTbMgOs
1.0
-2.6285 2.1351 -3.3221
0.3760 -1.3286 -4.5384
-3.5539 -2.3503 -2.0856
Os Li Mg Tb
1 1 1 1
Cartesian
-2.9032 -0.7719 -4.9731 Os
0.0000 0.0000 0.0000 Li
-4.3547 -1.1579 -7.4596 Mg
-1.4516 -0.3860 -2.4865 Tb
```

## Properties
- Calculated density: 8.368 g/cm³
- Crystal system: cubic
- Formation energy from the elements: -0.01 eV/atom

A plane-wave DFT calculation with PBE-GGA was carried out for PuZnHg after structural relaxation.

Geometry as POSCAR:
```
PuZnHg
1.0
3.3479 -0.0004 -0.0005
-1.6694 6.0904 0.8040
-1.6694 -0.3241 6.1347
Hg Pu Zn
2 2 2
Cartesian
-1.6658 3.4450 6.3882 Hg
-1.6658 5.6500 4.5558 Hg
0.0036 2.9546 3.5553 Pu
1.6769 1.7429 2.0973 Pu
-1.6696 0.8808 5.5196 Zn
-1.6696 5.2652 1.8760 Zn
```

## Properties
- Calculated density: 13.448 g/cm³
- Energy above the lowest structure with this stoichiometry: 0.356 eV per formula unit
- Crystal system: orthorhombic
- Formation energy from the elements: -0.05 eV/atom